A plane-wave DFT calculation with PBE was carried out for a relaxed structure of GdLuPbAu.

Values from the calculation:
D(E_F) in states/eV/f.u.: 4.85
V in Å³ per cell: 406
Theoretical density in g/cm³: 12.0
Size of the total moment in Bohr magnetons per cell: 30.98
Total energy in eV/atom: -6.993

abc: 7.4056 7.4056 7.4056
angles: 90.00 90.00 90.00
Closest atoms and distances in Å follow each position.
Space group F-43m (No. 216)
Asymmetric unit:
Gd: 0.0000 0.0000 0.0000  4 Au 3.21, 4 Pb 3.21
Lu: 0.0000 0.0000 0.5000  4 Pb 3.21, 4 Au 3.21
Pb: 0.2500 0.2500 0.7500  4 Gd 3.21, 4 Lu 3.21
Au: 0.2500 0.2500 0.2500  4 Gd 3.21, 4 Lu 3.21